Below is a geometry-optimized Tl2InNiPb structure, with properties calculated at the PBE level.

abc: 5.132 5.132 5.289
angles: 90.00 90.00 90.00
Space group P4/mmm (No. 123)
Inequivalent atoms, fractional coordinates:
Tl: 0.000 0.500 0.000 (multiplicity 2)
In: 0.000 0.000 0.500 (multiplicity 1)
Ni: 0.500 0.500 0.000 (multiplicity 1)
Pb: 0.500 0.500 0.500 (multiplicity 1)

Values from the calculation:
- distance to the lowest polymorph of the same formula (eV per formula unit) = 0.00
- formation energy (eV/atom) = 0.13
- volume (Å³ per cell) = 139



Below is a geometry-optimized TlIn2NiPb structure, with properties calculated at the PBE level.

abc: 5.074 5.074 5.108
angles: 90.00 90.00 90.00
Space group P4/mmm (No. 123)
Inequivalent atoms, fractional coordinates:
Tl: 0.000 0.000 0.000 (multiplicity 1)
In: 0.000 0.500 0.500 (multiplicity 2)
Ni: 0.000 0.000 0.500 (multiplicity 1)
Pb: 0.500 0.500 0.000 (multiplicity 1)

Values from the calculation:
- distance to the lowest polymorph of the same formula (eV per formula unit) = 0.34
- formation energy (eV/atom) = 0.10
- volume (Å³ per cell) = 132



Below is a geometry-optimized ZnIn2NiPb structure, with properties calculated at the PBE level.

abc: 4.985 4.985 4.760
angles: 90.00 90.00 90.00
Space group P4/mmm (No. 123)
Inequivalent atoms, fractional coordinates:
Zn: 0.000 0.000 0.000 (multiplicity 1)
In: 0.000 0.500 0.500 (multiplicity 2)
Ni: 0.000 0.000 0.500 (multiplicity 1)
Pb: 0.500 0.500 0.000 (multiplicity 1)

Values from the calculation:
- formation energy (eV/atom) = 0.08
- volume (Å³ per cell) = 118



Below is a geometry-optimized ZrIn2NiPb structure, with properties calculated at the PBE level.

abc: 5.560 5.560 4.684
angles: 90.00 90.00 90.00
Space group P4/mmm (No. 123)
Inequivalent atoms, fractional coordinates:
Zr: 0.000 0.000 0.000 (multiplicity 1)
In: 0.000 0.500 0.500 (multiplicity 2)
Ni: 0.500 0.500 0.000 (multiplicity 1)
Pb: 0.500 0.500 0.500 (multiplicity 1)

Values from the calculation:
- formation energy (eV/atom) = 1.03
- volume (Å³ per cell) = 145



Below is a geometry-optimized InNiPd structure, with properties calculated at the PBE level.

abc: 3.026 4.158 4.237
angles: 90.00 90.00 90.00
Space group Pmmm (No. 47)
Inequivalent atoms, fractional coordinates:
In: 0.000 0.000 0.000 (multiplicity 1)
Ni: 0.500 0.000 0.500 (multiplicity 1)
Pd: 0.000 0.500 0.500 (multiplicity 1)

Values from the calculation:
- formation energy (eV/atom) = -0.04
- volume (Å³ per cell) = 53



Below is a geometry-optimized In3NiPd structure, with properties calculated at the PBE level.

abc: 5.102 5.102 5.102
angles: 90.00 90.00 90.00
Space group Pm-3m (No. 221)
Inequivalent atoms, fractional coordinates:
In: 0.000 0.000 0.500 (multiplicity 3)
Ni: 0.500 0.500 0.500 (multiplicity 1)
Pd: 0.000 0.000 0.000 (multiplicity 1)

Values from the calculation:
- distance to the lowest polymorph of the same formula (eV per formula unit) = 1.53
- formation energy (eV/atom) = 0.41
- volume (Å³ per cell) = 133



Below is a geometry-optimized In2NiPd structure, with properties calculated at the PBE level.

abc: 4.576 4.576 3.247
angles: 90.00 90.00 90.00
Space group P4/mmm (No. 123)
Inequivalent atoms, fractional coordinates:
In: 0.000 0.500 0.000 (multiplicity 2)
Ni: 0.000 0.000 0.500 (multiplicity 1)
Pd: 0.500 0.500 0.500 (multiplicity 1)

Values from the calculation:
- distance to the lowest polymorph of the same formula (eV per formula unit) = 0.09
- formation energy (eV/atom) = -0.26
- volume (Å³ per cell) = 68



Below is a geometry-optimized In2Ni2Pd structure, with properties calculated at the PBE level.

abc: 3.398 3.398 14.651
angles: 90.00 90.00 90.00
Space group I4/mmm (No. 139)
Inequivalent atoms, fractional coordinates:
In: 0.000 0.000 0.109 (multiplicity 4)
Ni: 0.000 0.500 0.250 (multiplicity 4)
Pd: 0.000 0.000 0.500 (multiplicity 2)

Values from the calculation:
- distance to the lowest polymorph of the same formula (eV per formula unit) = 0.44
- formation energy (eV/atom) = -0.07
- volume (Å³ per cell) = 169



Below is a geometry-optimized In2NiPd structure, with properties calculated at the PBE level.

abc: 3.207 3.207 6.565
angles: 90.00 90.00 90.00
Space group P4/mmm (No. 123)
Inequivalent atoms, fractional coordinates:
In: 0.000 0.000 0.236 (multiplicity 2)
Ni: 0.500 0.500 0.000 (multiplicity 1)
Pd: 0.500 0.500 0.500 (multiplicity 1)

Values from the calculation:
- distance to the lowest polymorph of the same formula (eV per formula unit) = 0.00
- formation energy (eV/atom) = -0.28
- volume (Å³ per cell) = 68



Below is a geometry-optimized In3NiPd12 structure, with properties calculated at the PBE level.

abc: 4.005 4.005 15.964
angles: 90.00 90.00 90.00
Space group P4/mmm (No. 123)
Inequivalent atoms, fractional coordinates:
In: 0.000 0.000 0.000 (multiplicity 1)
In: 0.000 0.000 0.256 (multiplicity 2)
Ni: 0.000 0.000 0.500 (multiplicity 1)
Pd: 0.000 0.500 0.129 (multiplicity 4)
Pd: 0.000 0.500 0.384 (multiplicity 4)
Pd: 0.500 0.500 0.000 (multiplicity 1)
Pd: 0.500 0.500 0.258 (multiplicity 2)
Pd: 0.500 0.500 0.500 (multiplicity 1)

Values from the calculation:
- formation energy (eV/atom) = -0.31
- volume (Å³ per cell) = 256



Below is a geometry-optimized In2NiPd2 structure, with properties calculated at the PBE level.

abc: 6.874 6.874 3.784
angles: 90.00 90.00 90.00
Space group P4/mbm (No. 127)
Inequivalent atoms, fractional coordinates:
In: 0.165 0.335 0.000 (multiplicity 4)
Ni: 0.000 0.000 0.500 (multiplicity 2)
Pd: 0.142 0.642 0.500 (multiplicity 4)

Values from the calculation:
- distance to the lowest polymorph of the same formula (eV per formula unit) = 0.00
- formation energy (eV/atom) = -0.18
- volume (Å³ per cell) = 179



Below is a geometry-optimized InNiPd4 structure, with properties calculated at the PBE level.

abc: 4.819 8.440 4.794
angles: 90.00 107.61 90.00
Space group C2/m (No. 12)
Inequivalent atoms, fractional coordinates:
In: 0.000 0.000 0.000 (multiplicity 2)
Ni: 0.000 0.500 0.500 (multiplicity 2)
Pd: 0.000 0.168 0.500 (multiplicity 4)
Pd: 0.000 0.338 0.000 (multiplicity 4)

Values from the calculation:
- formation energy (eV/atom) = -0.23
- volume (Å³ per cell) = 186



Q: Which of these has the lowest volume?
A: InNiPd



Q: Which formula does entry 8 have?
A: In2Ni2Pd